A.
The following is a GGA-PBE calculation of a relaxed structure of NbPtO2, from the Alexandria database.

Properties
Magnetization (μB per atom): 0.000

a b c (Å): 4.023 4.023 4.023
angles (deg): 60.00 60.00 60.00
Sites, in units of the cell vectors:
1 Nb 0.000 0.000 0.000
2 Pt 0.500 0.500 0.500
3 O 0.250 0.250 0.250
4 O 0.750 0.750 0.750

B.
The following is a GGA-PBE calculation of a relaxed structure of NbPtO2, from the Alexandria database.

Properties
Magnetization (μB per atom): 0.000

a b c (Å): 6.989 6.989 6.989
angles (deg): 23.72 23.72 23.72
Sites, in units of the cell vectors:
1 Nb 0.000 0.000 0.000
2 Pt 0.500 0.500 0.500
3 O 0.400 0.400 0.400
4 O 0.600 0.600 0.600

The structure with the most favorable energy is B; the runner-up is 1052 meV/atom above it.

A.
The following is a GGA-PBE calculation of a relaxed structure of RbNb3O, from the Alexandria database.

Properties
Magnetization (μB per atom): 0.000

a b c (Å): 4.494 4.494 4.494
angles (deg): 90.00 90.00 90.00
Sites, in units of the cell vectors:
1 Rb 0.000 0.000 0.000
2 Nb 0.000 0.500 0.500
3 Nb 0.500 0.000 0.500
4 Nb 0.500 0.500 0.000
5 O 0.500 0.500 0.500

B.
The following is a GGA-PBE calculation of a relaxed structure of RbNb3O, from the Alexandria database.

Properties
Magnetization (μB per atom): 0.000

a b c (Å): 4.786 4.786 4.786
angles (deg): 90.00 90.00 90.00
Sites, in units of the cell vectors:
1 Rb 0.000 0.000 0.000
2 Nb 0.000 0.000 0.500
3 Nb 0.000 0.500 0.000
4 Nb 0.500 0.000 0.000
5 O 0.500 0.500 0.500

The structure with the most favorable energy is A; the runner-up is 2694 meV/atom above it.

A.
The following is a GGA-PBE calculation of a relaxed structure of RbNb3O8, from the Alexandria database.

Properties
Magnetization (μB per atom): 0.000

a b c (Å): 7.136 7.136 7.882
angles (deg): 107.49 107.49 31.03
Sites, in units of the cell vectors:
1 Rb 0.000 0.000 0.000
2 Nb 0.048 0.048 0.562
3 Nb 0.277 0.277 0.004
4 Nb 0.329 0.329 0.542
5 O 0.001 0.001 0.328
6 O 0.146 0.146 0.851
7 O 0.192 0.192 0.547
8 O 0.299 0.299 0.300
9 O 0.356 0.356 0.850
10 O 0.511 0.511 0.605
11 O 0.796 0.796 0.061
12 O 0.882 0.882 0.587

B.
The following is a GGA-PBE calculation of a relaxed structure of RbNb3O8, from the Alexandria database.

Properties
Magnetization (μB per atom): 0.000

a b c (Å): 5.952 5.952 7.734
angles (deg): 90.00 90.00 120.00
Sites, in units of the cell vectors:
1 Rb 0.000 0.000 0.000
2 Nb 0.000 0.000 0.500
3 Nb 0.333 0.667 0.729
4 Nb 0.667 0.333 0.271
5 O 0.155 0.314 0.653
6 O 0.159 0.845 0.653
7 O 0.314 0.159 0.347
8 O 0.333 0.667 0.959
9 O 0.667 0.333 0.041
10 O 0.686 0.841 0.653
11 O 0.841 0.155 0.347
12 O 0.845 0.686 0.347

The structure with the most favorable energy is B; the runner-up is 71 meV/atom above it.

A.
The following is a GGA-PBE calculation of a relaxed structure of NbRe3O, from the Alexandria database.

Properties
Magnetization (μB per atom): 0.507

a b c (Å): 4.770 4.770 4.770
angles (deg): 90.00 90.00 90.00
Sites, in units of the cell vectors:
1 Nb 0.000 0.000 0.000
2 Re 0.000 0.000 0.500
3 Re 0.000 0.500 0.000
4 Re 0.500 0.000 0.000
5 O 0.500 0.500 0.500

B.
The following is a GGA-PBE calculation of a relaxed structure of NbRe3O, from the Alexandria database.

Properties
Magnetization (μB per atom): 0.000

a b c (Å): 4.127 4.127 4.127
angles (deg): 90.00 90.00 90.00
Sites, in units of the cell vectors:
1 Nb 0.000 0.000 0.000
2 Re 0.000 0.500 0.500
3 Re 0.500 0.000 0.500
4 Re 0.500 0.500 0.000
5 O 0.500 0.500 0.500

The structure with the most favorable energy is B; the runner-up is 2955 meV/atom above it.

A.
The following is a GGA-PBE calculation of a relaxed structure of NbRh3O, from the Alexandria database.

Properties
Magnetization (μB per atom): 0.000

a b c (Å): 4.135 4.135 4.135
angles (deg): 90.00 90.00 90.00
Sites, in units of the cell vectors:
1 Nb 0.000 0.000 0.000
2 Rh 0.000 0.500 0.500
3 Rh 0.500 0.000 0.500
4 Rh 0.500 0.500 0.000
5 O 0.500 0.500 0.500

B.
The following is a GGA-PBE calculation of a relaxed structure of NbRh3O, from the Alexandria database.

Properties
Magnetization (μB per atom): 0.420

a b c (Å): 4.750 4.750 4.750
angles (deg): 90.00 90.00 90.00
Sites, in units of the cell vectors:
1 Nb 0.000 0.000 0.000
2 Rh 0.000 0.000 0.500
3 Rh 0.000 0.500 0.000
4 Rh 0.500 0.000 0.000
5 O 0.500 0.500 0.500

The structure with the most favorable energy is A; the runner-up is 1535 meV/atom above it.

A.
The following is a GGA-PBE calculation of a relaxed structure of Nb3RuO, from the Alexandria database.

Properties
Magnetization (μB per atom): 0.000

a b c (Å): 4.229 4.229 4.229
angles (deg): 90.00 90.00 90.00
Sites, in units of the cell vectors:
1 Nb 0.000 0.000 0.500
2 Nb 0.000 0.500 0.000
3 Nb 0.500 0.000 0.000
4 Ru 0.500 0.500 0.500
5 O 0.000 0.000 0.000

B.
The following is a GGA-PBE calculation of a relaxed structure of Nb3RuO, from the Alexandria database.

Properties
Magnetization (μB per atom): 0.202

a b c (Å): 4.791 4.791 4.791
angles (deg): 90.00 90.00 90.00
Sites, in units of the cell vectors:
1 Nb 0.000 0.000 0.500
2 Nb 0.000 0.500 0.000
3 Nb 0.500 0.000 0.000
4 Ru 0.000 0.000 0.000
5 O 0.500 0.500 0.500

The structure with the most favorable energy is A; the runner-up is 2051 meV/atom above it.

A.
The following is a GGA-PBE calculation of a relaxed structure of NbSb3O, from the Alexandria database.

Properties
Magnetization (μB per atom): 0.336

a b c (Å): 4.698 4.698 4.698
angles (deg): 90.00 90.00 90.00
Sites, in units of the cell vectors:
1 Nb 0.000 0.000 0.000
2 Sb 0.000 0.500 0.500
3 Sb 0.500 0.000 0.500
4 Sb 0.500 0.500 0.000
5 O 0.500 0.500 0.500

B.
The following is a GGA-PBE calculation of a relaxed structure of NbSb3O, from the Alexandria database.

Properties
Magnetization (μB per atom): 0.000

a b c (Å): 5.254 5.254 5.254
angles (deg): 90.00 90.00 90.00
Sites, in units of the cell vectors:
1 Nb 0.000 0.000 0.000
2 Sb 0.000 0.000 0.500
3 Sb 0.000 0.500 0.000
4 Sb 0.500 0.000 0.000
5 O 0.500 0.500 0.500

The structure with the most favorable energy is A; the runner-up is 558 meV/atom above it.

A.
The following is a GGA-PBE calculation of a relaxed structure of NbSb2TeO, from the Alexandria database.

Properties
Magnetization (μB per atom): 0.001

a b c (Å): 4.571 4.571 5.015
angles (deg): 90.00 90.00 90.00
Sites, in units of the cell vectors:
1 Nb 0.000 0.000 0.000
2 Sb 0.000 0.500 0.500
3 Sb 0.500 0.000 0.500
4 Te 0.500 0.500 0.000
5 O 0.500 0.500 0.500

B.
The following is a GGA-PBE calculation of a relaxed structure of NbSb2TeO, from the Alexandria database.

Properties
Magnetization (μB per atom): 0.002

a b c (Å): 5.305 5.305 5.227
angles (deg): 90.00 90.00 90.00
Sites, in units of the cell vectors:
1 Nb 0.000 0.000 0.000
2 Sb 0.000 0.500 0.000
3 Sb 0.500 0.000 0.000
4 Te 0.000 0.000 0.500
5 O 0.500 0.500 0.500

The structure with the most favorable energy is A; the runner-up is 467 meV/atom above it.

A.
The following is a GGA-PBE calculation of a relaxed structure of ScNb3O, from the Alexandria database.

Properties
Magnetization (μB per atom): 0.000

a b c (Å): 4.353 4.353 4.353
angles (deg): 90.00 90.00 90.00
Sites, in units of the cell vectors:
1 Sc 0.000 0.000 0.000
2 Nb 0.000 0.500 0.500
3 Nb 0.500 0.000 0.500
4 Nb 0.500 0.500 0.000
5 O 0.500 0.500 0.500

B.
The following is a GGA-PBE calculation of a relaxed structure of ScNb3O, from the Alexandria database.

Properties
Magnetization (μB per atom): 0.000

a b c (Å): 4.739 4.739 4.739
angles (deg): 90.00 90.00 90.00
Sites, in units of the cell vectors:
1 Sc 0.000 0.000 0.000
2 Nb 0.000 0.000 0.500
3 Nb 0.000 0.500 0.000
4 Nb 0.500 0.000 0.000
5 O 0.500 0.500 0.500

The structure with the most favorable energy is A; the runner-up is 2781 meV/atom above it.

A.
The following is a GGA-PBE calculation of a relaxed structure of ScNbO2, from the Alexandria database.

Properties
Magnetization (μB per atom): 0.000

a b c (Å): 6.520 6.520 6.520
angles (deg): 27.90 27.90 27.90
Sites, in units of the cell vectors:
1 Sc 0.000 0.000 0.000
2 Nb 0.500 0.500 0.500
3 O 0.390 0.390 0.390
4 O 0.610 0.610 0.610

B.
The following is a GGA-PBE calculation of a relaxed structure of ScNbO2, from the Alexandria database.

Properties
Magnetization (μB per atom): 0.000

a b c (Å): 3.927 3.927 3.927
angles (deg): 60.00 60.00 60.00
Sites, in units of the cell vectors:
1 Sc 0.000 0.000 0.000
2 Nb 0.500 0.500 0.500
3 O 0.250 0.250 0.250
4 O 0.750 0.750 0.750

The structure with the most favorable energy is A; the runner-up is 642 meV/atom above it.

A.
The following is a GGA-PBE calculation of a relaxed structure of ScNbO2, from the Alexandria database.

Properties
Magnetization (μB per atom): 0.258

a b c (Å): 5.852 5.852 5.852
angles (deg): 129.88 129.88 73.59
Sites, in units of the cell vectors:
1 Sc 0.000 0.000 0.000
2 Sc 0.750 0.250 0.500
3 Nb 0.250 0.750 0.500
4 Nb 0.500 0.500 0.000
5 O 0.106 0.625 0.981
6 O 0.375 0.356 0.481
7 O 0.644 0.125 0.019
8 O 0.875 0.894 0.519

B.
The following is a GGA-PBE calculation of a relaxed structure of ScNbO2, from the Alexandria database.

Properties
Magnetization (μB per atom): 0.000

a b c (Å): 6.955 6.955 6.955
angles (deg): 25.13 25.13 25.13
Sites, in units of the cell vectors:
1 Sc 0.000 0.000 0.000
2 Nb 0.500 0.500 0.500
3 O 0.102 0.102 0.102
4 O 0.898 0.898 0.898

The structure with the most favorable energy is A; the runner-up is 58 meV/atom above it.

A.
The following is a GGA-PBE calculation of a relaxed structure of Nb2SeO, from the Alexandria database.

Properties
Magnetization (μB per atom): 0.000

a b c (Å): 7.319 7.319 7.319
angles (deg): 142.43 142.43 54.18
Sites, in units of the cell vectors:
1 Nb 0.028 0.625 0.903
2 Nb 0.375 0.278 0.403
3 Nb 0.722 0.125 0.097
4 Nb 0.875 0.972 0.597
5 Se 0.250 0.750 0.500
6 Se 0.500 0.500 0.000
7 O 0.000 0.000 0.000
8 O 0.750 0.250 0.500

B.
The following is a GGA-PBE calculation of a relaxed structure of Nb2SeO, from the Alexandria database.

Properties
Magnetization (μB per atom): 0.000

a b c (Å): 4.347 4.347 4.347
angles (deg): 60.00 60.00 60.00
Sites, in units of the cell vectors:
1 Nb 0.250 0.250 0.250
2 Nb 0.750 0.750 0.750
3 Se 0.000 0.000 0.000
4 O 0.500 0.500 0.500

The structure with the most favorable energy is A; the runner-up is 250 meV/atom above it.